Arrangement i

## Ni3OsC (PBE)

Data for crystalline Ni3OsC at its relaxed geometry.

Unit cell a=4.465 b=4.465 c=4.465 alpha=90.00 beta=90.00 gamma=90.00
Element x y z (fractional)
Os1 0.000 0.000 0.000
Ni1 0.500 0.000 0.000
Ni2 0.000 0.000 0.500
Ni3 0.000 0.500 0.000
C1 0.500 0.500 0.500

Summary:
The calculation puts the density of states at the Fermi level at 8.89 states/eV/f.u. As for the space group: Pm-3m. The total magnetization comes out at 0.0 μB per cell. The value obtained for the volume is 89.0 Å³ per cell.



Arrangement ii

## Ni3OsC (PBE)

Data for crystalline Ni3OsC at its relaxed geometry.

Unit cell a=3.781 b=3.781 c=3.781 alpha=90.00 beta=90.00 gamma=90.00
Element x y z (fractional)
Os1 0.500 0.500 0.500
C1 0.000 0.000 0.000
Ni1 0.500 0.000 0.000
Ni2 0.000 0.500 0.000
Ni3 0.000 0.000 0.500

Summary:
The calculation puts the density of states at the Fermi level at 7.40 states/eV/f.u. As for the space group: Pm-3m. The total magnetization comes out at 0.0 μB per cell. The value obtained for the volume is 54.1 Å³ per cell.



Tell me which of them is the least stable. Sure, it is arrangement i.